Record 1
PaTi2Mn | PBE-GGA | optimized geometry

POSCAR file:
```
PaTi2Mn
1.0
3.0155 0.0000 0.0000
0.0000 3.0155 0.0000
0.0000 0.0000 7.6019
Pa Ti Mn
1 2 1
Direct
0.0000 0.0000 0.0000
0.5000 0.5000 0.3136
0.5000 0.5000 0.6864
0.0000 0.0000 0.5000
```

Output
* space group: P4/mmm (123)
* formation enthalpy at 0 K: -58 meV per atom

Record 2
PaTiMnV | PBE-GGA | optimized geometry

POSCAR file:
```
PaTiMnV
1.0
6.3618 0.0000 0.0000
0.0000 6.3618 0.0000
0.0000 0.0000 6.3618
Pa Ti Mn V
4 4 4 4
Direct
0.0000 0.0000 0.0000
0.0000 0.5000 0.5000
0.5000 0.0000 0.5000
0.5000 0.5000 0.0000
0.0000 0.0000 0.5000
0.0000 0.5000 0.0000
0.5000 0.0000 0.0000
0.5000 0.5000 0.5000
0.2500 0.2500 0.2500
0.2500 0.7500 0.7500
0.7500 0.2500 0.7500
0.7500 0.7500 0.2500
0.2500 0.2500 0.7500
0.2500 0.7500 0.2500
0.7500 0.2500 0.2500
0.7500 0.7500 0.7500
```

Output
* space group: F-43m (216)
* formation enthalpy at 0 K: -1 meV per atom

Number 1: spin magnetization 0.000 μB/atom. Number 2: spin magnetization 0.000 μB/atom.